Entry 1:
Compound: LiLa2OsC6
Source: the Open Quantum Materials Database
Functional: PBE
Structure: optimized geometry

## Properties
As for the symmetry: No. 14. As for the density: 7.15 Mg/m³. The calculation puts the electronic total energy at -6.638 eV per atom. The calculation puts the calculated volume at 254.2 Å³ per cell. The calculation puts the total magnetization at 0.000 μB/atom.

```
20
Lattice="5.609 0.000 0.000 0.000 5.691 0.000 -5.521 0.000 7.963" Properties=species:S:1:pos:R:3 pbc="T T T"
C 4.246 1.416 0.018
C 1.376 1.433 0.043
C 0.045 2.740 1.964
C 2.804 5.586 2.018
C 1.472 4.279 3.938
C -1.398 4.261 3.963
C 1.486 1.430 3.999
C -1.384 1.413 4.025
C -2.716 0.105 5.945
C 0.043 2.951 5.999
C -1.288 4.258 7.919
C -4.158 4.276 7.945
La 2.842 2.793 1.978
La 0.007 5.639 2.003
La 0.081 0.053 5.959
La -2.754 2.898 5.985
Li 0.000 2.846 0.000
Li -2.761 0.000 3.981
Os 2.805 0.000 0.000
Os 0.044 2.846 3.981
```

***

Entry 2:
Compound: Al2FeMo
Source: the Open Quantum Materials Database
Functional: PBE
Structure: optimized geometry

## Properties
As for the symmetry: No. 216. As for the density: 6.17 Mg/m³. The calculation puts the electronic total energy at -6.726 eV per atom. The calculation puts the calculated volume at 55.3 Å³ per cell. The calculation puts the total magnetization at 0.490 μB/atom.

```
4
Lattice="-0.915 -4.026 1.120 -3.660 -1.799 -1.288 0.062 -3.105 -2.941" Properties=species:S:1:pos:R:3 pbc="T T T"
Al 0.000 0.000 0.000
Al -3.384 -6.698 -2.332
Fe -2.256 -4.465 -1.555
Mo -1.128 -2.233 -0.777
```

***

Entry 3:
Compound: ZnCuBiOs
Source: the Open Quantum Materials Database
Functional: PBE
Structure: optimized geometry

## Properties
As for the symmetry: No. 216. As for the density: 12.77 Mg/m³. The energy above the lowest structure with this stoichiometry comes out at 0.160 eV/atom. The calculation puts the electronic total energy at -4.307 eV per atom. The calculation puts the calculated volume at 68.7 Å³ per cell. The calculation puts the total magnetization at 0.004 μB/atom.

```
4
Lattice="-2.324 -3.959 0.225 -4.531 0.035 0.774 -2.915 -1.148 -3.363" Properties=species:S:1:pos:R:3 pbc="T T T"
Bi 0.000 0.000 0.000
Cu -2.442 -1.268 -0.591
Os -4.885 -2.536 -1.182
Zn -7.327 -3.804 -1.773
```

***

Entry 4:
Compound: SrHfMg2
Source: the Open Quantum Materials Database
Functional: PBE
Structure: optimized geometry

## Properties
As for the symmetry: No. 216. As for the density: 4.75 Mg/m³. The calculation puts the electronic total energy at -3.180 eV per atom. The calculation puts the calculated volume at 110.0 Å³ per cell. The calculation puts the total magnetization at 0.005 μB/atom.

```
4
Lattice="0.000 3.803 3.803 3.803 0.000 3.803 3.803 3.803 0.000" Properties=species:S:1:pos:R:3 pbc="T T T"
Hf 3.803 3.803 3.803
Mg 0.000 0.000 0.000
Mg 1.902 1.902 1.902
Sr 5.705 5.705 5.705
```

***

Entry 5:
Compound: NaTmCoSe3
Source: the Open Quantum Materials Database
Functional: PBE
Structure: optimized geometry

## Properties
As for the symmetry: No. 62. As for the density: 5.57 Mg/m³. The energy above the lowest structure with this stoichiometry comes out at 0.000 eV/atom. The calculation puts the electronic total energy at -4.992 eV per atom. The calculation puts the calculated volume at 582.1 Å³ per cell. The calculation puts the total magnetization at 0.342 μB/atom.

```
24
Lattice="13.764 0.000 0.000 0.000 3.917 0.000 0.000 0.000 10.798" Properties=species:S:1:pos:R:3 pbc="T T T"
Co 7.015 0.979 0.902
Co 0.133 0.979 4.497
Co 13.631 2.938 6.301
Co 6.749 2.938 9.896
Na 10.027 2.938 0.547
Na 3.145 2.938 4.852
Na 10.619 0.979 5.946
Na 3.737 0.979 10.251
Se 12.218 0.979 0.758
Se 5.660 2.938 1.160
Se 8.763 0.979 2.560
Se 1.881 0.979 2.839
Se 12.542 2.938 4.239
Se 5.336 0.979 4.641
Se 8.428 2.938 6.157
Se 1.222 0.979 6.559
Se 11.882 2.938 7.959
Se 5.000 2.938 8.238
Se 8.104 0.979 9.638
Se 1.546 2.938 10.040
Tm 0.242 2.938 1.702
Tm 7.124 2.938 3.697
Tm 6.640 0.979 7.101
Tm 13.522 0.979 9.095
```

***

Entry 6:
Compound: Pr3Nb3W2N12
Source: the Open Quantum Materials Database
Functional: PBE
Structure: optimized geometry

## Properties
As for the symmetry: No. 230. As for the density: 7.38 Mg/m³. The calculation puts the electronic total energy at -9.393 eV per atom. The calculation puts the calculated volume at 1113.9 Å³ per cell. The calculation puts the total magnetization at 0.000 μB/atom.

```
80
Lattice="-6.530 6.530 6.530 6.530 -6.530 6.530 6.530 6.530 -6.530" Properties=species:S:1:pos:R:3 pbc="T T T"
N -0.405 0.638 1.892
N 3.903 -3.670 7.903
N -2.627 3.670 7.903
N 0.405 0.638 8.423
N -0.638 1.892 6.126
N -1.373 2.627 10.200
N 1.892 -0.405 0.638
N 2.860 -1.373 9.158
N 3.670 -1.373 3.903
N 1.892 0.405 5.892
N -1.373 3.903 3.670
N 0.638 1.892 -0.405
N 1.373 2.627 3.670
N 5.892 -1.892 6.126
N -3.670 7.903 3.903
N -1.892 6.126 5.892
N 3.670 1.373 2.627
N 4.638 0.405 7.168
N 0.638 4.638 6.126
N 7.903 -2.627 3.670
N 6.126 -0.638 1.892
N 2.627 2.860 7.903
N 0.405 5.892 1.892
N 2.627 3.670 1.373
N 3.903 2.860 5.157
N 6.126 0.638 4.638
N 3.903 3.670 -1.373
N 0.405 7.168 4.638
N -1.373 9.158 2.860
N 5.892 1.892 0.405
N 1.892 6.126 -0.638
N 2.860 5.157 3.903
N 8.423 0.405 0.638
N 10.200 -1.373 2.627
N 5.157 3.903 2.860
N 0.638 8.423 0.405
N 5.892 4.638 6.935
N 7.903 2.627 2.860
N 4.638 6.126 0.638
N 2.860 7.903 2.627
N 3.670 7.903 -2.627
N 4.638 6.935 5.892
N 7.903 3.903 -3.670
N 7.168 4.638 0.405
N 6.126 5.892 -1.892
N 9.158 2.860 -1.373
N 2.627 10.200 -1.373
N 6.935 5.892 4.638
Nb -3.265 4.898 6.530
Nb 1.633 0.000 9.795
Nb 0.000 3.265 4.898
Nb 6.530 -3.265 4.898
Nb 4.898 0.000 3.265
Nb 3.265 1.633 6.530
Nb 3.265 4.898 0.000
Nb 1.633 6.530 3.265
Nb 0.000 9.795 1.633
Nb 6.530 3.265 1.633
Nb 4.898 6.530 -3.265
Nb 9.795 1.633 0.000
Pr 3.265 -1.633 6.530
Pr 1.633 0.000 3.265
Pr 0.000 3.265 1.633
Pr 0.000 3.265 8.163
Pr -1.633 6.530 3.265
Pr 3.265 1.633 0.000
Pr 3.265 4.898 6.530
Pr 8.163 0.000 3.265
Pr 6.530 3.265 -1.633
Pr 6.530 3.265 4.898
Pr 3.265 8.163 0.000
Pr 4.898 6.530 3.265
W 0.000 0.000 0.000
W -3.265 3.265 3.265
W 3.265 -3.265 3.265
W 0.000 0.000 6.530
W 3.265 3.265 -3.265
W 0.000 6.530 0.000
W 6.530 0.000 0.000
W 3.265 3.265 3.265
```

***

Entry 7:
Compound: SnPtSO
Source: the Open Quantum Materials Database
Functional: PBE
Structure: optimized geometry

## Properties
As for the symmetry: No. 61. As for the density: 8.69 Mg/m³. The energy above the lowest structure with this stoichiometry comes out at 0.122 eV/atom. The calculation puts the electronic total energy at -5.368 eV per atom. The calculation puts the calculated volume at 552.9 Å³ per cell. The calculation puts the total magnetization at 0.000 μB/atom.

```
32
Lattice="-6.914 2.627 0.356 -3.294 -8.109 -4.111 -0.853 -3.192 6.980" Properties=species:S:1:pos:R:3 pbc="T T T"
O -6.393 -1.105 -0.728
O -8.062 -5.151 -2.782
O -3.251 -3.597 1.671
O -4.920 -7.643 -0.384
O -6.141 -1.031 3.609
O -7.810 -5.077 1.555
O -2.999 -3.523 6.007
O -4.668 -7.569 3.953
Pt -7.728 0.595 -0.668
Pt -5.937 -4.766 -2.901
Pt -4.697 -2.311 2.636
Pt -2.906 -7.672 0.404
Pt -8.154 -1.001 2.822
Pt -6.364 -6.362 0.589
Pt -5.123 -3.908 6.126
Pt -3.333 -9.269 3.894
S -4.046 -0.418 1.444
S -2.243 -5.784 -0.789
S -7.504 0.891 1.632
S -5.700 -4.474 -0.601
S -5.360 -4.199 3.826
S -3.557 -9.565 1.593
S -8.818 -2.890 4.014
S -7.015 -8.256 1.781
Sn -3.281 -3.352 -0.502
Sn -4.930 -7.406 -2.558
Sn -6.879 -2.564 0.827
Sn -8.527 -6.618 -1.228
Sn -2.533 -2.055 4.454
Sn -4.182 -6.109 2.398
Sn -6.131 -1.268 5.783
Sn -7.779 -5.322 3.728
```

***

Entry 8:
Compound: Sm2Dy2CBr4Cl
Source: the Open Quantum Materials Database
Functional: PBE
Structure: optimized geometry

## Properties
As for the symmetry: No. 12. As for the density: 6.08 Mg/m³. The energy above the lowest structure with this stoichiometry comes out at 0.000 eV/atom. The calculation puts the electronic total energy at -5.125 eV per atom. The calculation puts the calculated volume at 271.2 Å³ per cell. The calculation puts the total magnetization at 0.002 μB/atom.

```
10
Lattice="9.008 -1.921 0.000 9.008 1.921 0.000 -1.778 0.000 7.835" Properties=species:S:1:pos:R:3 pbc="T T T"
Br 14.621 0.000 1.311
Br 2.372 0.000 2.685
Br 13.867 0.000 5.150
Br 1.617 0.000 6.523
C 9.008 0.000 0.000
Cl 8.119 0.000 3.917
Dy 11.341 0.000 0.574
Dy 4.898 0.000 7.261
Sm 17.615 0.000 1.662
Sm -1.377 0.000 6.173
```

***

The highest calculated volume belongs to which entry?
Pr3Nb3W2N12

***

Which value of electronic total energy does entry 8 give?
-5.125 eV per atom